(1)
Computed, not measured: a relaxed Li3Ta crystal at the PBE-GGA level of DFT.

Calculated values
Formation energy from the elements in meV per atom: 299

abc: 2.7330 2.7330 9.3683
angles: 90.00 90.00 90.00
Space group P4/mmm (No. 123)
Symmetry-distinct sites (fractional):
1 Li 0.0000 0.0000 0.0000 [1 per cell]
2 Li 0.5000 0.5000 0.2518 [2 per cell]
3 Ta 0.0000 0.0000 0.5000 [1 per cell]

(2)
Computed, not measured: a relaxed CaIn3I6 crystal at the PBE-GGA level of DFT.

Calculated values
Formation energy (no corrections) in meV per atom: -741.4

abc: 13.8364 13.8364 16.3150
angles: 90.00 90.00 120.00
Space group R-3 (No. 148, hexagonal axes)
Symmetry-distinct sites (fractional):
1 Ca 0.0000 0.0000 0.0000 [3 per cell]
2 Ca 0.0000 0.0000 0.5000 [3 per cell]
3 In 0.0612 0.7918 0.1991 [18 per cell]
4 I 0.0024 0.8071 0.3950 [18 per cell]
5 I 0.0404 0.8456 0.8818 [18 per cell]

no.,Fermi-level density of states (states/eV per atom),E_tot (eV per atom)
1,0.657,-4.099
2,0.606,-2.693